Tb3Ho5Er2 | PBE-GGA | relaxed

Computed properties:
Offset from the most stable computed form in meV/atom: 0
Spin magnetization in μB/cell: 0.00
V in Å³/f.u.: 320.7
Crystal system: monoclinic

The structure in CIF format:
```
data_Tb3Ho5Er2
_symmetry_space_group_name_H-M 'P 1'
_symmetry_Int_Tables_number 1
_cell_length_a 9.425
_cell_length_b 9.425
_cell_length_c 9.388
_cell_angle_alpha 108.45
_cell_angle_beta 108.45
_cell_angle_gamma 111.53
loop_
_symmetry_equiv_pos_as_xyz
'x,y,z'
loop_
_atom_site_label
_atom_site_fract_x
_atom_site_fract_y
_atom_site_fract_z
Tb1 0.022 0.267 0.046
Tb2 0.233 0.767 0.750
Tb3 0.267 0.022 0.546
Tb4 0.733 0.978 0.454
Tb5 0.767 0.233 0.250
Tb6 0.978 0.733 0.954
Ho1 0.028 0.972 0.750
Ho2 0.147 0.371 0.767
Ho3 0.270 0.730 0.250
Ho4 0.371 0.147 0.267
Ho5 0.470 0.530 0.250
Ho6 0.530 0.470 0.750
Ho7 0.629 0.853 0.733
Ho8 0.730 0.270 0.750
Ho9 0.853 0.629 0.233
Ho10 0.972 0.028 0.250
Er1 0.228 0.466 0.452
Er2 0.466 0.228 0.952
Er3 0.534 0.772 0.048
Er4 0.772 0.534 0.548
```